Density functional theory data (GGA+U) for crystalline RbBMo2O8 at its relaxed geometry.

a b c (Å): 9.349 9.349 9.349
angles (deg): 31.10 31.10 31.10
Element x y z (fractional)
1 Rb 0.000 0.000 0.000
2 B 0.500 0.500 0.500
3 Mo 0.224 0.224 0.224
4 Mo 0.776 0.776 0.776
5 O 0.172 0.493 0.722
6 O 0.278 0.828 0.507
7 O 0.290 0.290 0.290
8 O 0.493 0.722 0.172
9 O 0.507 0.278 0.828
10 O 0.710 0.710 0.710
11 O 0.722 0.172 0.493
12 O 0.828 0.507 0.278

Output
Uncorrected energy = -6.6408 eV per atom
ρ = 3.57 g/cm³
Space group = R-3, No. 148

=====

Density functional theory data (GGA+U) for crystalline BSbMo2O at its relaxed geometry.

a b c (Å): 4.587 4.587 3.978
angles (deg): 90.00 90.00 90.00
Element x y z (fractional)
1 B 0.000 0.000 0.000
2 Sb 0.500 0.500 0.000
3 Mo 0.000 0.500 0.500
4 Mo 0.500 0.000 0.500
5 O 0.000 0.000 0.500

Output
Uncorrected energy = -5.1684 eV per atom
ρ = 6.75 g/cm³
Space group = P4/mmm, No. 123

=====

Density functional theory data (GGA+U) for crystalline SrBMo2O8 at its relaxed geometry.

a b c (Å): 5.443 5.443 6.543
angles (deg): 90.00 90.00 120.00
Element x y z (fractional)
1 Sr 0.000 0.000 0.000
2 B 0.000 0.000 0.500
3 Mo 0.333 0.667 0.272
4 Mo 0.667 0.333 0.728
5 O 0.145 0.289 0.345
6 O 0.145 0.855 0.345
7 O 0.289 0.145 0.655
8 O 0.333 0.667 0.999
9 O 0.667 0.333 0.001
10 O 0.711 0.855 0.345
11 O 0.855 0.145 0.655
12 O 0.855 0.711 0.655

Output
Uncorrected energy = -6.7924 eV per atom
ρ = 4.14 g/cm³
Space group = P-3m1, No. 164

=====

Density functional theory data (GGA+U) for crystalline Sr2B2MoO6 at its relaxed geometry.

a b c (Å): 6.587 6.587 6.587
angles (deg): 46.98 46.98 46.98
Element x y z (fractional)
1 Sr 0.214 0.214 0.214
2 Sr 0.786 0.786 0.786
3 B 0.420 0.420 0.420
4 B 0.580 0.580 0.580
5 Mo 0.000 0.000 0.000
6 O 0.269 0.269 0.727
7 O 0.269 0.727 0.269
8 O 0.273 0.731 0.731
9 O 0.727 0.269 0.269
10 O 0.731 0.273 0.731
11 O 0.731 0.731 0.273

Output
Uncorrected energy = -7.2221 eV per atom
ρ = 4.62 g/cm³
Space group = R-3m, No. 166

=====

Density functional theory data (GGA+U) for crystalline SrBMoO4 at its relaxed geometry.

a b c (Å): 5.143 5.143 6.944
angles (deg): 90.00 90.00 118.84
Element x y z (fractional)
1 Sr 0.180 0.820 0.750
2 Sr 0.820 0.180 0.250
3 B 0.174 0.826 0.250
4 B 0.826 0.174 0.750
5 Mo 0.500 0.500 0.000
6 Mo 0.500 0.500 0.500
7 O 0.177 0.306 0.750
8 O 0.267 0.733 0.081
9 O 0.267 0.733 0.419
10 O 0.306 0.177 0.250
11 O 0.694 0.823 0.750
12 O 0.733 0.267 0.581
13 O 0.733 0.267 0.919
14 O 0.823 0.694 0.250

Output
Uncorrected energy = -7.3139 eV per atom
ρ = 5.33 g/cm³
Space group = Cmcm, No. 63

=====

Density functional theory data (GGA+U) for crystalline SrBMoO5 at its relaxed geometry.

a b c (Å): 5.454 5.454 7.309
angles (deg): 104.47 104.47 105.88
Element x y z (fractional)
1 Sr 0.160 0.840 0.750
2 Sr 0.840 0.160 0.250
3 B 0.190 0.810 0.250
4 B 0.810 0.190 0.750
5 Mo 0.500 0.500 0.000
6 Mo 0.500 0.500 0.500
7 O 0.101 0.266 0.890
8 O 0.197 0.628 0.374
9 O 0.266 0.101 0.390
10 O 0.372 0.803 0.126
11 O 0.433 0.567 0.750
12 O 0.567 0.433 0.250
13 O 0.628 0.197 0.874
14 O 0.734 0.899 0.610
15 O 0.803 0.372 0.626
16 O 0.899 0.734 0.110

Output
Uncorrected energy = -7.2453 eV per atom
ρ = 4.79 g/cm³
Space group = C2/c, No. 15

=====

Density functional theory data (GGA+U) for crystalline Tl2B2MoO6 at its relaxed geometry.

a b c (Å): 7.508 7.508 7.508
angles (deg): 41.20 41.20 41.20
Element x y z (fractional)
1 Tl 0.217 0.217 0.217
2 Tl 0.783 0.783 0.783
3 B 0.390 0.390 0.390
4 B 0.610 0.610 0.610
5 Mo 0.000 0.000 0.000
6 O 0.242 0.242 0.694
7 O 0.242 0.694 0.242
8 O 0.306 0.758 0.758
9 O 0.694 0.242 0.242
10 O 0.758 0.306 0.758
11 O 0.758 0.758 0.306

Output
Uncorrected energy = -6.7473 eV per atom
ρ = 6.23 g/cm³
Space group = R-3m, No. 166

=====

Density functional theory data (GGA+U) for crystalline TlBMo2O at its relaxed geometry.

a b c (Å): 4.385 4.385 5.124
angles (deg): 90.00 90.00 90.00
Element x y z (fractional)
1 Tl 0.000 0.000 0.000
2 B 0.500 0.500 0.000
3 Mo 0.000 0.500 0.500
4 Mo 0.500 0.000 0.500
5 O 0.000 0.000 0.500

Output
Uncorrected energy = -4.6033 eV per atom
ρ = 7.13 g/cm³
Space group = P4/mmm, No. 123

=====

Density functional theory data (GGA+U) for crystalline VBMoO2 at its relaxed geometry.

a b c (Å): 3.574 3.574 4.420
angles (deg): 90.00 90.00 90.00
Element x y z (fractional)
1 V 0.000 0.000 0.000
2 B 0.500 0.500 0.500
3 Mo 0.500 0.500 0.000
4 O 0.000 0.500 0.500
5 O 0.500 0.000 0.500

Output
Offset from the most stable computed form = 49.6 kJ/mol of atoms
ρ = 5.58 g/cm³
Space group = P4/mmm, No. 123

=====

Density functional theory data (GGA+U) for crystalline VBMoO2 at its relaxed geometry.

a b c (Å): 3.711 3.711 6.027
angles (deg): 90.00 90.00 90.00
Element x y z (fractional)
1 V 0.000 0.000 0.000
2 B 0.500 0.500 0.000
3 Mo 0.000 0.000 0.500
4 O 0.000 0.500 0.500
5 O 0.500 0.000 0.500

Output
Offset from the most stable computed form = 0.0 kJ/mol of atoms
ρ = 3.80 g/cm³
Space group = P4/mmm, No. 123

=====

Copy entry 3 word for word.
Density functional theory data (GGA+U) for crystalline SrBMo2O8 at its relaxed geometry.

a b c (Å): 5.443 5.443 6.543
angles (deg): 90.00 90.00 120.00
Element x y z (fractional)
1 Sr 0.000 0.000 0.000
2 B 0.000 0.000 0.500
3 Mo 0.333 0.667 0.272
4 Mo 0.667 0.333 0.728
5 O 0.145 0.289 0.345
6 O 0.145 0.855 0.345
7 O 0.289 0.145 0.655
8 O 0.333 0.667 0.999
9 O 0.667 0.333 0.001
10 O 0.711 0.855 0.345
11 O 0.855 0.145 0.655
12 O 0.855 0.711 0.655

Output
Uncorrected energy = -6.7924 eV per atom
ρ = 4.14 g/cm³
Space group = P-3m1, No. 164